# 1
Below is crystalline La4CrAs at its relaxed geometry, with properties calculated at the PBEsol level.

abc: 6.234 6.234 6.234
angles: 60.00 60.00 60.00
Positions (direct):
1 La 0.376 0.376 0.376
2 La 0.376 0.376 0.872
3 La 0.376 0.872 0.376
4 La 0.872 0.376 0.376
5 Cr 0.000 0.000 0.000
6 As 0.750 0.750 0.750

Values from the calculation:
formation energy from the elements: 51 kJ/mol of atoms
uncorrected energy: -0.411 Ry/atom
space-group type: F-43m (216)
N(E_F): 1.51 states/eV per atom



# 2
Below is crystalline ReAgOs at its relaxed geometry, with properties calculated at the PBEsol level.

abc: 7.519 7.297 2.686
angles: 84.24 74.94 20.82
Positions (direct):
1 Re 0.000 0.000 0.000
2 Ag 0.325 0.325 0.675
3 Os 0.650 0.650 0.350

Values from the calculation:
formation energy from the elements: 55 kJ/mol of atoms
offset from the most stable computed form: 0.000 eV/atom
uncorrected energy: -0.665 Ry/atom
space-group type: Fmm2 (42)
N(E_F): 0.80 states/eV per atom



# 3
Below is crystalline Sb2Pd5 at its relaxed geometry, with properties calculated at the PBEsol level.

abc: 7.603 7.603 13.838
angles: 90.00 90.00 120.00
Positions (direct):
1 Sb 0.000 0.000 0.000
2 Sb 0.000 0.000 0.500
3 Sb 0.000 0.333 0.224
4 Sb 0.000 0.667 0.724
5 Sb 0.333 0.000 0.224
6 Sb 0.333 0.333 0.724
7 Sb 0.333 0.667 0.448
8 Sb 0.333 0.667 0.948
9 Sb 0.667 0.000 0.724
10 Sb 0.667 0.333 0.448
11 Sb 0.667 0.333 0.948
12 Sb 0.667 0.667 0.224
13 Pd 0.000 0.000 0.296
14 Pd 0.000 0.000 0.796
15 Pd 0.000 0.267 0.626
16 Pd 0.000 0.308 0.419
17 Pd 0.000 0.371 0.028
18 Pd 0.000 0.371 0.819
19 Pd 0.000 0.629 0.319
20 Pd 0.000 0.629 0.528
21 Pd 0.000 0.692 0.919
22 Pd 0.000 0.733 0.126
23 Pd 0.267 0.000 0.626
24 Pd 0.267 0.267 0.126
25 Pd 0.308 0.000 0.419
26 Pd 0.308 0.308 0.919
27 Pd 0.333 0.667 0.152
28 Pd 0.333 0.667 0.652
29 Pd 0.371 0.000 0.028
30 Pd 0.371 0.000 0.819
31 Pd 0.371 0.371 0.319
32 Pd 0.371 0.371 0.528
33 Pd 0.629 0.000 0.319
34 Pd 0.629 0.000 0.528
35 Pd 0.629 0.629 0.028
36 Pd 0.629 0.629 0.819
37 Pd 0.667 0.333 0.152
38 Pd 0.667 0.333 0.652
39 Pd 0.692 0.000 0.919
40 Pd 0.692 0.692 0.419
41 Pd 0.733 0.000 0.126
42 Pd 0.733 0.733 0.626

Values from the calculation:
uncorrected energy: -0.443 Ry/atom
space-group type: P6_3cm (185)
N(E_F): 0.35 states/eV per atom
uncorrected formation energy: -0.470 eV/atom



# 4
Below is crystalline K3Nb2CuSe12 at its relaxed geometry, with properties calculated at the PBEsol level.

abc: 9.469 13.410 17.160
angles: 90.00 118.04 90.00
Positions (direct):
1 K 0.138 0.089 0.230
2 K 0.138 0.411 0.730
3 K 0.240 0.580 0.993
4 K 0.240 0.920 0.493
5 K 0.334 0.104 0.847
6 K 0.334 0.396 0.347
7 K 0.666 0.604 0.653
8 K 0.666 0.896 0.153
9 K 0.760 0.080 0.507
10 K 0.760 0.420 0.007
11 K 0.862 0.589 0.270
12 K 0.862 0.911 0.770
13 Nb 0.213 0.723 0.221
14 Nb 0.213 0.777 0.721
15 Nb 0.406 0.223 0.581
16 Nb 0.406 0.277 0.081
17 Nb 0.594 0.723 0.919
18 Nb 0.594 0.777 0.419
19 Nb 0.787 0.223 0.279
20 Nb 0.787 0.277 0.779
21 Cu 0.106 0.193 0.426
22 Cu 0.106 0.307 0.926
23 Cu 0.894 0.693 0.074
24 Cu 0.894 0.807 0.574
25 Se 0.002 0.640 0.636
26 Se 0.002 0.860 0.136
27 Se 0.005 0.608 0.491
28 Se 0.005 0.892 0.991
29 Se 0.062 0.703 0.799
30 Se 0.062 0.797 0.299
31 Se 0.078 0.566 0.157
32 Se 0.078 0.934 0.657
33 Se 0.122 0.232 0.568
34 Se 0.122 0.268 0.068
35 Se 0.334 0.717 0.624
36 Se 0.334 0.783 0.124
37 Se 0.348 0.660 0.391
38 Se 0.348 0.840 0.891
39 Se 0.359 0.607 0.824
40 Se 0.359 0.893 0.324
41 Se 0.361 0.164 0.436
42 Se 0.361 0.336 0.936
43 Se 0.382 0.068 0.664
44 Se 0.382 0.432 0.164
45 Se 0.390 0.086 0.067
46 Se 0.390 0.414 0.567
47 Se 0.500 0.180 0.250
48 Se 0.500 0.320 0.750
49 Se 0.500 0.680 0.250
50 Se 0.500 0.820 0.750
51 Se 0.610 0.586 0.433
52 Se 0.610 0.914 0.933
53 Se 0.618 0.568 0.836
54 Se 0.618 0.932 0.336
55 Se 0.639 0.664 0.064
56 Se 0.639 0.836 0.564
57 Se 0.641 0.107 0.676
58 Se 0.641 0.393 0.176
59 Se 0.652 0.160 0.109
60 Se 0.652 0.340 0.609
61 Se 0.666 0.217 0.876
62 Se 0.666 0.283 0.376
63 Se 0.878 0.732 0.932
64 Se 0.878 0.768 0.432
65 Se 0.922 0.066 0.343
66 Se 0.922 0.434 0.843
67 Se 0.938 0.203 0.701
68 Se 0.938 0.297 0.201
69 Se 0.995 0.108 0.009
70 Se 0.995 0.392 0.509
71 Se 0.998 0.140 0.864
72 Se 0.998 0.360 0.364

Values from the calculation:
uncorrected energy: -0.360 Ry/atom
space-group type: P2_1/c (14)
uncorrected formation energy: -0.698 eV/atom



# 5
Below is crystalline Rb2NiHPd at its relaxed geometry, with properties calculated at the PBEsol level.

abc: 6.216 6.216 4.549
angles: 90.00 90.00 90.00
Positions (direct):
1 Rb 0.000 0.500 0.000
2 Rb 0.500 0.000 0.000
3 Ni 0.000 0.000 0.500
4 H 0.500 0.500 0.500
5 Pd 0.000 0.000 0.000

Values from the calculation:
uncorrected energy: -0.203 Ry/atom
space-group type: P4/mmm (123)
N(E_F): 1.46 states/eV per atom



# 6
Below is crystalline BaBi2B2 at its relaxed geometry, with properties calculated at the PBEsol level.

abc: 8.639 8.639 3.619
angles: 90.00 90.00 90.00
Positions (direct):
1 Ba 0.000 0.000 0.000
2 Ba 0.500 0.500 0.000
3 Bi 0.139 0.361 0.000
4 Bi 0.361 0.861 0.000
5 Bi 0.639 0.139 0.000
6 Bi 0.861 0.639 0.000
7 B 0.068 0.568 0.500
8 B 0.432 0.068 0.500
9 B 0.568 0.932 0.500
10 B 0.932 0.432 0.500

Values from the calculation:
formation energy from the elements: 85 kJ/mol of atoms
uncorrected energy: -0.299 Ry/atom
space-group type: P4/mbm (127)
N(E_F): 0.63 states/eV per atom



# 7
Below is crystalline IrC2 at its relaxed geometry, with properties calculated at the PBEsol level.

abc: 5.106 5.106 4.518
angles: 90.00 90.00 120.00
Positions (direct):
1 Ir 0.000 0.000 0.000
2 Ir 0.333 0.667 0.500
3 Ir 0.667 0.333 0.500
4 C 0.000 0.312 0.269
5 C 0.000 0.688 0.731
6 C 0.312 0.000 0.269
7 C 0.312 0.312 0.731
8 C 0.688 0.000 0.731
9 C 0.688 0.688 0.269

Values from the calculation:
formation energy from the elements: 149 kJ/mol of atoms
offset from the most stable computed form: 0.686 eV/atom
uncorrected energy: -0.600 Ry/atom
space-group type: P-31m (162)
N(E_F): 0.52 states/eV per atom



# 8
Below is crystalline LaTaMo at its relaxed geometry, with properties calculated at the PBEsol level.

abc: 4.622 4.622 3.221
angles: 90.00 90.00 120.00
Positions (direct):
1 La 0.000 0.000 0.000
2 Ta 0.667 0.333 0.613
3 Mo 0.333 0.667 0.321

Values from the calculation:
formation energy from the elements: 50 kJ/mol of atoms
offset from the most stable computed form: 0.000 eV/atom
uncorrected energy: -0.689 Ry/atom
space-group type: P3m1 (156)
N(E_F): 0.80 states/eV per atom